This record from OQMD describes a relaxed TbCoO3 crystal. The functional is PBE+U.

```
TbCoO3
1.0
2.700 1.559 4.774
-2.700 1.559 4.774
0.000 -3.118 4.774
Tb Co O
2 2 6
Direct
0.134 0.134 0.134
0.866 0.866 0.866
0.347 0.347 0.347
0.653 0.653 0.653
0.059 0.467 0.707
0.293 0.941 0.533
0.467 0.707 0.059
0.533 0.293 0.941
0.707 0.059 0.467
0.941 0.533 0.293
```

The total magnetization comes out at 0.000 μB/f.u. As for the final energy: -69.550 eV per cell. Its space-group type is No. 148.